No. 1
# AcSn2O5 | Alexandria via LeMat-Bulk | PBE | optimized geometry
data_AcSn2O5
_chemical_formula_sum 'Ac2 Sn4 O10'
_space_group_name_H-M_alt 'P m m n'
_space_group_IT_number 59
_cell_length_a 3.8940
_cell_length_b 12.7619
_cell_length_c 5.5589
_cell_angle_alpha 90.00
_cell_angle_beta 90.00
_cell_angle_gamma 90.00
loop_
_space_group_symop_operation_xyz
'x,y,z'
'-x,-y,-z'
'-x+1/2,-y+1/2,z'
'x+1/2,y+1/2,-z'
'x+1/2,-y,-z'
'-x+1/2,y,z'
'-x,y+1/2,-z'
'x,-y+1/2,z'
loop_
_atom_site_label
_atom_site_fract_x
_atom_site_fract_y
_atom_site_fract_z
_atom_site_occupancy
Ac1 0.2500 0.2500 0.1222 1
Sn1 0.2500 0.5981 0.3923 1
O1 0.2500 0.0758 0.4527 1
O2 0.2500 0.6377 0.0474 1
O3 0.2500 0.7500 0.5533 1
# E = -0.4865 Ry/atom
# Formation energy (no corrections) = -16.1 eV/f.u.
# Total magnetization = 0.0 μB/cell
# D(E_F) = 0.208 states/eV per atom

No. 2
# AcSnO2 | Alexandria via LeMat-Bulk | PBE | optimized geometry
data_AcSnO2
_chemical_formula_sum 'Ac3 Sn3 O6'
_space_group_name_H-M_alt 'R -3 m'
_space_group_IT_number 166
_space_group_name_Hall '-R 3 2"'
_cell_length_a 3.9089
_cell_length_b 3.9089
_cell_length_c 20.6985
_cell_angle_alpha 90.00
_cell_angle_beta 90.00
_cell_angle_gamma 120.00
loop_
_atom_site_label
_atom_site_fract_x
_atom_site_fract_y
_atom_site_fract_z
_atom_site_occupancy
Ac1 0.0000 0.0000 0.0000 1
Sn1 0.0000 0.0000 0.5000 1
O1 0.0000 0.0000 0.3883 1
# E = -0.4933 Ry/atom
# Formation energy (no corrections) = -8.8 eV/f.u.
# Total magnetization = 0.0 μB/cell
# D(E_F) = 0.165 states/eV per atom

No. 3
# SrAc2SnO6 | Alexandria via LeMat-Bulk | PBE | optimized geometry
data_SrAc2SnO6
_chemical_formula_sum 'Sr1 Ac2 Sn1 O6'
_space_group_name_H-M_alt 'P 4 m m'
_space_group_IT_number 99
_cell_length_a 5.7666
_cell_length_b 5.7666
_cell_length_c 5.5287
_cell_angle_alpha 90.00
_cell_angle_beta 90.00
_cell_angle_gamma 90.00
loop_
_space_group_symop_operation_xyz
'x,y,z'
'-y,x,z'
'-x,-y,z'
'y,-x,z'
'-x,y,z'
'y,x,z'
'x,-y,z'
'-y,-x,z'
loop_
_atom_site_label
_atom_site_fract_x
_atom_site_fract_y
_atom_site_fract_z
_atom_site_occupancy
Sr1 0.0000 0.0000 0.0000 1
Ac1 0.0000 0.5000 0.4445 1
Sn1 0.5000 0.5000 0.0448 1
O1 0.0000 0.0000 0.5696 1
O2 0.2667 0.2667 0.1842 1
O3 0.5000 0.5000 0.6813 1
# E = -0.5137 Ry/atom
# Formation energy (no corrections) = -26.2 eV/f.u.
# Total magnetization = 0.0 μB/cell
# D(E_F) = 0.000 states/eV per atom

No. 4
# AcTaSnO6 | Alexandria via LeMat-Bulk | PBE | optimized geometry
data_AcTaSnO6
_chemical_formula_sum 'Ac2 Ta2 Sn2 O12'
_space_group_name_H-M_alt 'P -3 1 c'
_space_group_IT_number 163
_space_group_name_Hall '-P 3 2c'
_cell_length_a 5.4451
_cell_length_b 5.4451
_cell_length_c 10.7085
_cell_angle_alpha 90.00
_cell_angle_beta 90.00
_cell_angle_gamma 120.00
loop_
_atom_site_label
_atom_site_fract_x
_atom_site_fract_y
_atom_site_fract_z
_atom_site_occupancy
Ac1 0.0000 0.0000 0.0000 1
Ta1 0.3333 0.6667 0.2500 1
Sn1 0.3333 0.6667 0.7500 1
O1 0.0109 0.3804 0.1443 1
# E = -0.6029 Ry/atom
# Formation energy (no corrections) = -24.1 eV/f.u.
# Total magnetization = 0.0 μB/cell
# D(E_F) = 0.000 states/eV per atom

What is the formation energy (no corrections) in the first record? -16.1 eV/f.u.